Entry 1:
Here is a geometry-optimized CuSn structure from the Alexandria database. Energies are from PBE.

As for the crystal system: orthorhombic. As for the formation energy: 0.13 eV per atom. The total moment comes out at 0.00 μB/atom.

Cell and atoms, written as POSCAR:
```
CuSn
1.0
-0.321 1.587 -3.256
2.542 -1.872 -1.163
-8.597 -9.365 -3.717
Sn Cu
4 4
Direct
0.000 0.000 0.927
0.500 0.000 0.675
0.500 0.500 0.427
0.000 0.500 0.175
0.000 0.000 0.528
0.500 0.500 0.028
0.000 0.000 0.330
0.500 0.500 0.830
```

=====

Entry 2:
Here is a geometry-optimized ZnFe4Pt5 structure from the Alexandria database. Energies are from PBE.

As for the crystal system: tetragonal. As for the formation energy: -0.31 eV per atom. The total moment comes out at 1.33 μB/atom.

Cell and atoms, written as POSCAR:
```
ZnFe4Pt5
1.0
-1.360 2.400 0.083
-2.204 -1.209 -1.140
-6.437 -4.234 16.934
Pt Fe Zn
5 4 1
Direct
0.500 0.500 0.899
0.500 0.500 0.300
0.500 0.500 0.500
0.500 0.500 0.101
0.500 0.500 0.700
0.000 0.000 0.200
0.000 0.000 0.600
0.000 0.000 0.800
0.000 0.000 0.400
0.000 0.000 0.000
```

=====

Entry 3:
Here is a geometry-optimized CeEr2Tm structure from the Alexandria database. Energies are from PBE.

The energy above the most stable polymorph in this dataset comes out at 0.000 eV per atom. As for the crystal system: trigonal. As for the formation energy: 0.05 eV per atom. The total moment comes out at 0.17 μB/atom.

Cell and atoms, written as POSCAR:
```
CeEr2Tm
1.0
-2.155 2.723 -0.331
-1.039 1.028 -3.168
-10.040 -5.772 -0.502
Er Tm Ce
2 1 1
Direct
0.250 0.250 0.249
0.750 0.750 0.751
0.500 0.500 0.500
0.000 0.000 0.000
```

=====

Entry 4:
Here is a geometry-optimized Er4Hg2SeS structure from the Alexandria database. Energies are from PBE.

For the energy relative to the elements, uncorrected, the calculation gives -1.12 eV per atom. As for the crystal system: monoclinic. The total moment comes out at 0.00 μB/atom.

Cell and atoms, written as POSCAR:
```
Er4Hg2SeS
1.0
3.869 0.000 0.000
0.000 6.720 0.122
0.000 -2.365 7.535
Er S Hg Se
4 1 2 1
Direct
0.500 0.768 0.781
0.000 0.749 0.224
0.500 0.232 0.219
0.000 0.251 0.776
0.000 0.000 0.000
0.500 0.000 0.500
0.000 0.500 0.500
0.500 0.500 0.000
```

=====

Entry 5:
Here is a geometry-optimized V2SiW structure from the Alexandria database. Energies are from PBE.

For the energy relative to the elements, uncorrected, the calculation gives 0.50 eV per atom. As for the crystal system: tetragonal. The total moment comes out at 0.00 μB/atom.

Cell and atoms, written as POSCAR:
```
V2SiW
1.0
6.911 0.000 0.000
0.000 6.911 0.000
3.455 3.455 2.514
W V Si
2 4 2
Direct
0.000 0.000 0.000
0.750 0.250 0.500
0.144 0.625 0.250
0.375 0.394 0.750
0.875 0.856 0.750
0.606 0.125 0.250
0.500 0.500 0.000
0.250 0.750 0.500
```

=====

Entry 6:
Here is a geometry-optimized Zr2CrIn2S6 structure from the Alexandria database. Energies are from PBE.

For the energy relative to the elements, uncorrected, the calculation gives -1.00 eV per atom. As for the crystal system: monoclinic. The total moment comes out at 0.24 μB/atom.

Cell and atoms, written as POSCAR:
```
Zr2CrIn2S6
1.0
6.231 -0.019 0.026
-3.096 5.407 0.026
-1.149 -1.974 7.597
S Cr Zr In
6 1 2 2
Direct
0.070 0.388 0.694
0.930 0.612 0.306
0.754 0.754 0.692
0.612 0.930 0.306
0.246 0.246 0.308
0.388 0.070 0.694
0.000 0.000 0.500
0.332 0.668 0.500
0.668 0.332 0.500
0.826 0.174 0.000
0.174 0.826 0.000
```

=====

Entry 7:
Here is a geometry-optimized Nd5Er7 structure from the Alexandria database. Energies are from PBE.

The energy above the most stable polymorph in this dataset comes out at 0.000 eV per atom. As for the crystal system: monoclinic. As for the formation energy: 0.01 eV per atom. The total moment comes out at 0.00 μB/atom.

Cell and atoms, written as POSCAR:
```
Nd5Er7
1.0
0.308 -0.273 3.576
1.214 -9.350 0.993
11.980 -1.809 0.642
Er Nd
7 5
Direct
0.666 0.665 0.003
0.363 0.026 0.248
0.500 0.500 0.500
0.028 0.695 0.249
0.637 0.974 0.752
0.334 0.335 0.997
0.972 0.305 0.751
0.835 0.833 0.497
0.695 0.361 0.249
0.165 0.167 0.503
0.000 0.000 0.000
0.305 0.639 0.751
```

=====

Entry 8:
Here is a geometry-optimized BaZn2S2 structure from the Alexandria database. Energies are from PBE.

For the energy relative to the elements, uncorrected, the calculation gives -0.93 eV per atom. As for the crystal system: tetragonal. The total moment comes out at 0.00 μB/atom.

Cell and atoms, written as POSCAR:
```
BaZn2S2
1.0
-4.107 2.143 1.280
0.376 -1.905 4.396
0.525 3.855 4.253
Ba Zn S
1 2 2
Direct
0.000 0.000 0.000
0.367 0.367 0.267
0.633 0.633 0.733
0.750 0.250 0.500
0.250 0.750 0.500
```

=====

Entry 9:
Here is a geometry-optimized Ce3Pr2Tl6 structure from the Alexandria database. Energies are from PBE.

As for the crystal system: tetragonal. As for the formation energy: 0.14 eV per atom. The total moment comes out at 0.28 μB/atom.

Cell and atoms, written as POSCAR:
```
Ce3Pr2Tl6
1.0
6.095 0.000 0.000
0.000 6.095 0.000
-3.047 -3.047 11.292
Tl Ce Pr
6 3 2
Direct
0.279 0.279 0.559
0.431 0.931 0.862
0.569 0.069 0.138
0.721 0.721 0.441
0.069 0.569 0.138
0.931 0.431 0.862
0.000 0.000 0.000
0.135 0.135 0.271
0.865 0.865 0.729
0.422 0.422 0.844
0.578 0.578 0.156
```

=====

Entry 10:
Here is a geometry-optimized TaZnSn structure from the Alexandria database. Energies are from PBE.

As for the crystal system: monoclinic. As for the formation energy: 0.19 eV per atom. The total moment comes out at 0.00 μB/atom.

Cell and atoms, written as POSCAR:
```
TaZnSn
1.0
5.437 0.000 0.000
0.000 5.909 0.186
0.000 -0.680 6.970
Zn Sn Ta
4 4 4
Direct
0.424 0.067 0.832
0.924 0.933 0.668
0.076 0.067 0.332
0.576 0.933 0.168
0.630 0.605 0.836
0.370 0.395 0.164
0.130 0.395 0.664
0.870 0.605 0.336
0.108 0.778 0.003
0.892 0.222 0.997
0.392 0.778 0.503
0.608 0.222 0.497
```

=====

Entry 11:
Here is a geometry-optimized Nd3Tl3GaSe8 structure from the Alexandria database. Energies are from PBE.

For the energy relative to the elements, uncorrected, the calculation gives -1.09 eV per atom. As for the crystal system: monoclinic. The total moment comes out at 0.00 μB/atom.

Cell and atoms, written as POSCAR:
```
Nd3Tl3GaSe8
1.0
-3.436 3.823 6.740
-2.767 -7.640 -2.408
8.164 0.515 3.861
Tl Se Nd Ga
3 8 3 1
Direct
0.500 0.500 0.000
0.000 0.500 0.000
0.000 0.000 0.000
0.237 0.019 0.300
0.218 0.436 0.700
0.782 0.018 0.300
0.218 0.982 0.700
0.739 0.477 0.716
0.763 0.981 0.700
0.261 0.523 0.284
0.782 0.564 0.300
0.000 0.500 0.500
0.500 0.500 0.500
0.500 0.000 0.500
0.000 0.000 0.500
```

=====

Entry 12:
Here is a geometry-optimized AlAuS2 structure from the Alexandria database. Energies are from PBE.

For the energy relative to the elements, uncorrected, the calculation gives -0.47 eV per atom. As for the crystal system: monoclinic. The total moment comes out at 0.00 μB/atom.

Cell and atoms, written as POSCAR:
```
AlAuS2
1.0
5.840 0.000 -1.448
2.585 6.024 -3.455
-2.585 6.024 3.455
Au S Al
2 4 2
Direct
0.250 0.778 0.278
0.750 0.222 0.722
0.719 0.337 0.344
0.281 0.663 0.656
0.781 0.844 0.837
0.219 0.156 0.163
0.250 0.009 0.509
0.750 0.991 0.491
```